# Rb2In2Bi2O

A relaxed structure of Rb2In2Bi2O (PBE-GGA, the Alexandria database).

a = 4.724 Å, b = 7.307 Å, c = 8.061 Å
α = 68.70°, β = 72.96°, γ = 71.14°
Fractional coordinates of all 7 atoms:
Rb: 0.454 0.816 0.276
Bi: 0.816 0.645 0.724
In: 0.172 0.722 0.934
In: 0.828 0.278 0.066
Bi: 0.184 0.355 0.276
O: 0.000 0.000 0.000
Rb: 0.546 0.184 0.724

Calculated values
ΔE_f (raw)	-4.3	eV/f.u.
M_tot	0.00	μB/f.u.
N(E_F)	0.9	states/eV per cell

# Rb2InBiO4

A relaxed structure of Rb2InBiO4 (PBE-GGA, the Alexandria database).

a = 6.326 Å, b = 6.322 Å, c = 6.311 Å
α = 120.11°, β = 120.13°, γ = 89.93°
Fractional coordinates of all 8 atoms:
Rb: 0.236 0.236 0.472
O: 0.852 0.458 0.229
O: 0.376 0.771 0.229
O: 0.701 0.619 0.714
O: 0.013 0.095 0.714
Bi: 0.986 0.486 0.972
In: 0.736 0.736 0.472
Rb: 0.486 0.986 0.972

Calculated values
ΔE_f (raw)	-10.9	eV/f.u.
M_tot	0.00	μB/f.u.
N(E_F)	0.0	states/eV per cell

# In2ReBiO

A relaxed structure of In2ReBiO (PBE-GGA, the Alexandria database).

a = 6.076 Å, b = 5.213 Å, c = 6.076 Å
α = 90.00°, β = 90.00°, γ = 90.00°
Fractional coordinates of all 5 atoms:
Bi: 0.000 0.000 0.000
O: 0.500 0.500 0.500
In: 0.500 0.000 0.000
In: 0.000 0.000 0.500
Re: 0.000 0.500 0.000

Calculated values
ΔE_f (raw)	8.7	eV/f.u.
M_tot	3.90	μB/f.u.
N(E_F)	3.5	states/eV per cell

# InBiRhO6

A relaxed structure of InBiRhO6 (PBE-GGA, the Alexandria database).

a = 4.862 Å, b = 4.862 Å, c = 9.966 Å
α = 90.00°, β = 90.00°, γ = 90.00°
Fractional coordinates of all 18 atoms:
O: 0.813 0.187 0.180
O: 0.211 0.789 0.831
Bi: 0.000 0.000 0.000
O: 0.187 0.813 0.180
In: 0.500 0.500 0.167
O: 0.183 0.817 0.490
Bi: 0.500 0.500 0.500
Rh: 0.500 0.500 0.832
O: 0.817 0.183 0.490
O: 0.683 0.683 0.990
In: 0.000 0.000 0.667
O: 0.789 0.211 0.831
O: 0.711 0.711 0.331
O: 0.313 0.313 0.680
O: 0.687 0.687 0.680
Rh: 0.000 0.000 0.332
O: 0.289 0.289 0.331
O: 0.317 0.317 0.990

Calculated values
ΔE_f (raw)	-8.7	eV/f.u.
M_tot	1.12	μB/f.u.
N(E_F)	5.3	states/eV per cell

# InBiSO2

A relaxed structure of InBiSO2 (PBE-GGA, the Alexandria database).

a = 5.359 Å, b = 5.387 Å, c = 6.529 Å
α = 114.37°, β = 90.00°, γ = 90.00°
Fractional coordinates of all 10 atoms:
Bi: 0.250 0.608 0.216
S: 0.750 0.752 0.503
In: 0.750 0.095 0.189
S: 0.250 0.248 0.497
O: 0.000 0.250 0.000
Bi: 0.750 0.392 0.784
O: 0.500 0.750 0.000
O: 0.000 0.750 0.000
In: 0.250 0.905 0.811
O: 0.500 0.250 0.000

Calculated values
ΔE_f (raw)	-4.6	eV/f.u.
M_tot	0.00	μB/f.u.

# InBi2SbO6

A relaxed structure of InBi2SbO6 (PBE-GGA, the Alexandria database).

a = 6.075 Å, b = 6.075 Å, c = 5.980 Å
α = 59.48°, β = 59.47°, γ = 60.00°
Fractional coordinates of all 10 atoms:
O: 0.919 0.654 0.247
Bi: 0.027 0.027 0.920
O: 0.654 0.181 0.247
Sb: 0.310 0.310 0.071
In: 0.807 0.807 0.579
O: 0.650 0.115 0.767
O: 0.181 0.919 0.247
Bi: 0.532 0.532 0.403
O: 0.115 0.468 0.767
O: 0.468 0.650 0.767

Calculated values
ΔE_f (raw)	-12.4	eV/f.u.
M_tot	0.00	μB/f.u.
N(E_F)	0.0	states/eV per cell